Run w
Material: LiLaBiAu
Method: DFT, PBE
State: optimized geometry

Properties
M_tot = 0.00 μB/f.u.

Structure (CIF):
```
data_LiLaBiAu
_symmetry_space_group_name_H-M 'F -4 3 m'
_symmetry_Int_Tables_number 216
_symmetry_space_group_name_Hall 'F -4 2 3'
_cell_length_a 7.313
_cell_length_b 7.313
_cell_length_c 7.313
_cell_angle_alpha 90.00
_cell_angle_beta 90.00
_cell_angle_gamma 90.00
loop_
_atom_site_label
_atom_site_type_symbol
_atom_site_fract_x
_atom_site_fract_y
_atom_site_fract_z
Li1 Li 0.000 0.000 0.000
La1 La 0.250 0.250 0.750
Bi1 Bi 0.250 0.250 0.250
Au1 Au 0.000 0.000 0.500
```

***

Run x
Material: LiLaBiAu
Method: DFT, PBE
State: optimized geometry

Properties
M_tot = 0.00 μB/f.u.

Structure (CIF):
```
data_LiLaBiAu
_symmetry_space_group_name_H-M 'F -4 3 m'
_symmetry_Int_Tables_number 216
_symmetry_space_group_name_Hall 'F -4 2 3'
_cell_length_a 7.472
_cell_length_b 7.472
_cell_length_c 7.472
_cell_angle_alpha 90.00
_cell_angle_beta 90.00
_cell_angle_gamma 90.00
loop_
_atom_site_label
_atom_site_type_symbol
_atom_site_fract_x
_atom_site_fract_y
_atom_site_fract_z
Li1 Li 0.000 0.000 0.000
La1 La 0.000 0.000 0.500
Bi1 Bi 0.250 0.250 0.250
Au1 Au 0.250 0.250 0.750
```

***

Run y
Material: LiLaBiAu
Method: DFT, PBE
State: optimized geometry

Properties
M_tot = 0.00 μB/f.u.

Structure (CIF):
```
data_LiLaBiAu
_symmetry_space_group_name_H-M 'F -4 3 m'
_symmetry_Int_Tables_number 216
_symmetry_space_group_name_Hall 'F -4 2 3'
_cell_length_a 7.379
_cell_length_b 7.379
_cell_length_c 7.379
_cell_angle_alpha 90.00
_cell_angle_beta 90.00
_cell_angle_gamma 90.00
loop_
_atom_site_label
_atom_site_type_symbol
_atom_site_fract_x
_atom_site_fract_y
_atom_site_fract_z
Li1 Li 0.000 0.000 0.000
La1 La 0.250 0.250 0.250
Bi1 Bi 0.000 0.000 0.500
Au1 Au 0.250 0.250 0.750
```

***

Which is less stable than every other structure shown? run y is.